First-principles (GGA-PBEsol) data for a relaxed structure of K4TiO4, as listed in Alexandria.

a = 6.879 Å, b = 6.879 Å, c = 7.075 Å
α = 90.00°, β = 90.00°, γ = 90.86°
Positions (direct):
K: 0.165 0.165 0.500
K: 0.165 0.165 0.000
K: 0.146 0.543 0.250
K: 0.543 0.146 0.750
K: 0.854 0.457 0.750
K: 0.457 0.854 0.250
K: 0.835 0.835 0.000
K: 0.835 0.835 0.500
Ti: 0.681 0.319 0.250
Ti: 0.319 0.681 0.750
O: 0.420 0.258 0.250
O: 0.258 0.420 0.750
O: 0.791 0.209 0.038
O: 0.791 0.209 0.462
O: 0.209 0.791 0.962
O: 0.209 0.791 0.538
O: 0.580 0.742 0.750
O: 0.742 0.580 0.250

Uncorrected energy   -5.767 eV per atom
Total magnetization   0.02 Bohr magnetons per cell
Raw formation energy   -2.005 eV/atom
Density of states at the Fermi level   0.00 states/eV per atom
Energy above the lowest structure with this stoichiometry   70 kJ/mol of formula units